Entry 1:
A relaxed structure of TbPb2SO6, computed with PBE.

Properties
electronic total energy = -0.219 Ha/atom

a = 5.769 Å, b = 5.617 Å, c = 9.799 Å
α = 90.00°, β = 125.24°, γ = 90.00°
Fractional coordinates of all 20 atoms:
1 Tb 0.000 0.000 0.000
2 Tb 0.000 0.500 0.500
3 Pb 0.261 0.002 0.756
4 Pb 0.261 0.498 0.256
5 Pb 0.739 0.502 0.744
6 Pb 0.739 0.998 0.244
7 S 0.500 0.000 0.500
8 S 0.500 0.500 0.000
9 O 0.225 0.502 0.776
10 O 0.225 0.998 0.276
11 O 0.300 0.719 0.031
12 O 0.300 0.781 0.531
13 O 0.316 0.241 0.528
14 O 0.316 0.259 0.028
15 O 0.684 0.741 0.972
16 O 0.684 0.759 0.472
17 O 0.700 0.219 0.469
18 O 0.700 0.281 0.969
19 O 0.775 0.002 0.724
20 O 0.775 0.498 0.224

=====

Entry 2:
A relaxed structure of TbPb2SO6, computed with PBE.

Properties
electronic total energy = -0.219 Ha/atom

a = 5.692 Å, b = 5.692 Å, c = 5.692 Å
α = 120.12°, β = 120.12°, γ = 89.79°
Fractional coordinates of all 10 atoms:
1 Tb 0.000 0.000 0.000
2 Pb 0.250 0.750 0.500
3 Pb 0.750 0.250 0.500
4 S 0.500 0.500 0.000
5 O 0.274 0.274 0.000
6 O 0.274 0.274 0.548
7 O 0.274 0.726 0.000
8 O 0.726 0.274 0.000
9 O 0.726 0.726 0.000
10 O 0.726 0.726 0.452

=====

Entry 3:
A relaxed structure of SmSbPb2O6, computed with PBE.

Properties
electronic total energy = -0.231 Ha/atom

a = 5.300 Å, b = 5.344 Å, c = 5.729 Å
α = 92.86°, β = 90.93°, γ = 103.78°
Fractional coordinates of all 10 atoms:
1 Sm 0.000 0.000 0.000
2 Sb 0.500 0.500 0.000
3 Pb 0.303 0.698 0.463
4 Pb 0.697 0.302 0.537
5 O 0.259 0.728 0.034
6 O 0.282 0.273 0.741
7 O 0.304 0.297 0.260
8 O 0.696 0.703 0.740
9 O 0.718 0.727 0.259
10 O 0.741 0.272 0.966

=====

Entry 4:
A relaxed structure of SmSbPb2O6, computed with PBE.

Properties
electronic total energy = -0.237 Ha/atom

a = 5.912 Å, b = 5.912 Å, c = 10.277 Å
α = 105.69°, β = 105.69°, γ = 59.42°
Fractional coordinates of all 20 atoms:
1 Sm 0.248 0.752 0.750
2 Sm 0.752 0.248 0.250
3 Sb 0.000 0.500 0.000
4 Sb 0.500 0.000 0.500
5 Pb 0.094 0.641 0.376
6 Pb 0.359 0.906 0.124
7 Pb 0.641 0.094 0.876
8 Pb 0.906 0.359 0.624
9 O 0.104 0.706 0.923
10 O 0.114 0.198 0.845
11 O 0.198 0.114 0.345
12 O 0.294 0.896 0.577
13 O 0.318 0.361 0.611
14 O 0.361 0.318 0.111
15 O 0.639 0.682 0.889
16 O 0.682 0.639 0.389
17 O 0.706 0.104 0.423
18 O 0.802 0.886 0.655
19 O 0.886 0.802 0.155
20 O 0.896 0.294 0.077

=====

Entry 5:
A relaxed structure of SmSbPb2O6, computed with PBE.

Properties
electronic total energy = -0.202 Ha/atom

a = 6.030 Å, b = 6.030 Å, c = 6.030 Å
α = 60.00°, β = 60.00°, γ = 60.00°
Fractional coordinates of all 10 atoms:
1 Sm 0.000 0.000 0.000
2 Sb 0.500 0.500 0.500
3 Pb 0.250 0.250 0.250
4 Pb 0.750 0.750 0.750
5 O 0.000 0.000 0.500
6 O 0.000 0.500 0.000
7 O 0.000 0.500 0.500
8 O 0.500 0.000 0.000
9 O 0.500 0.000 0.500
10 O 0.500 0.500 0.000

=====

Entry 6:
A relaxed structure of TaSbPb2O6, computed with PBE.

Properties
electronic total energy = -0.258 Ha/atom

a = 5.847 Å, b = 5.847 Å, c = 6.023 Å
α = 119.91°, β = 119.91°, γ = 60.17°
Fractional coordinates of all 10 atoms:
1 Ta 0.000 0.000 0.000
2 Sb 0.500 0.500 0.500
3 Pb 0.252 0.252 0.774
4 Pb 0.748 0.748 0.226
5 O 0.184 0.703 0.171
6 O 0.230 0.230 0.323
7 O 0.297 0.816 0.829
8 O 0.703 0.184 0.171
9 O 0.770 0.770 0.677
10 O 0.816 0.297 0.829

=====

Entry 7:
A relaxed structure of TaSbPb2O6, computed with PBE.

Properties
electronic total energy = -0.255 Ha/atom

a = 5.938 Å, b = 5.938 Å, c = 5.938 Å
α = 60.00°, β = 60.00°, γ = 60.00°
Fractional coordinates of all 10 atoms:
1 Ta 0.000 0.000 0.000
2 Sb 0.500 0.500 0.500
3 Pb 0.250 0.250 0.250
4 Pb 0.750 0.750 0.750
5 O 0.236 0.236 0.764
6 O 0.236 0.764 0.236
7 O 0.236 0.764 0.764
8 O 0.764 0.236 0.236
9 O 0.764 0.236 0.764
10 O 0.764 0.764 0.236

=====

Entry 8:
A relaxed structure of TmSbPb2O6, computed with PBE.

Properties
electronic total energy = -0.238 Ha/atom

a = 5.898 Å, b = 5.825 Å, c = 10.049 Å
α = 90.00°, β = 125.25°, γ = 90.00°
Fractional coordinates of all 20 atoms:
1 Tm 0.000 0.000 0.000
2 Tm 0.000 0.500 0.500
3 Sb 0.500 0.000 0.500
4 Sb 0.500 0.500 0.000
5 Pb 0.267 0.004 0.753
6 Pb 0.267 0.496 0.253
7 Pb 0.733 0.504 0.747
8 Pb 0.733 0.996 0.247
9 O 0.190 0.002 0.263
10 O 0.190 0.498 0.763
11 O 0.306 0.239 0.544
12 O 0.306 0.261 0.044
13 O 0.311 0.745 0.043
14 O 0.311 0.755 0.543
15 O 0.689 0.245 0.457
16 O 0.689 0.255 0.957
17 O 0.694 0.739 0.956
18 O 0.694 0.761 0.456
19 O 0.810 0.502 0.237
20 O 0.810 0.998 0.737

=====

Entry 9:
A relaxed structure of TmSbPb2O6, computed with PBE.

Properties
electronic total energy = -0.238 Ha/atom

a = 5.836 Å, b = 5.836 Å, c = 10.139 Å
α = 106.14°, β = 106.14°, γ = 59.82°
Fractional coordinates of all 20 atoms:
1 Tm 0.249 0.751 0.750
2 Tm 0.751 0.249 0.250
3 Sb 0.000 0.500 0.000
4 Sb 0.500 0.000 0.500
5 Pb 0.094 0.645 0.374
6 Pb 0.355 0.906 0.126
7 Pb 0.645 0.094 0.874
8 Pb 0.906 0.355 0.626
9 O 0.112 0.691 0.914
10 O 0.116 0.179 0.851
11 O 0.179 0.116 0.351
12 O 0.309 0.888 0.586
13 O 0.333 0.362 0.619
14 O 0.362 0.333 0.119
15 O 0.638 0.667 0.881
16 O 0.667 0.638 0.381
17 O 0.691 0.112 0.414
18 O 0.821 0.884 0.649
19 O 0.884 0.821 0.149
20 O 0.888 0.309 0.086

=====

Entry 10:
A relaxed structure of Zn3Sb2Pb3O12, computed with PBE.

Properties
electronic total energy = -0.199 Ha/atom

a = 11.148 Å, b = 11.148 Å, c = 11.148 Å
α = 109.47°, β = 109.47°, γ = 109.47°
Fractional coordinates of all 80 atoms:
1 Zn 0.125 0.750 0.875
2 Zn 0.125 0.875 0.250
3 Zn 0.250 0.125 0.875
4 Zn 0.250 0.625 0.375
5 Zn 0.375 0.250 0.625
6 Zn 0.375 0.625 0.750
7 Zn 0.625 0.375 0.250
8 Zn 0.625 0.750 0.375
9 Zn 0.750 0.375 0.625
10 Zn 0.750 0.875 0.125
11 Zn 0.875 0.125 0.750
12 Zn 0.875 0.250 0.125
13 Sb 0.000 0.000 0.000
14 Sb 0.000 0.000 0.500
15 Sb 0.000 0.500 0.000
16 Sb 0.000 0.500 0.500
17 Sb 0.500 0.000 0.000
18 Sb 0.500 0.000 0.500
19 Sb 0.500 0.500 0.000
20 Sb 0.500 0.500 0.500
21 Pb 0.125 0.250 0.375
22 Pb 0.125 0.375 0.750
23 Pb 0.250 0.375 0.125
24 Pb 0.250 0.875 0.625
25 Pb 0.375 0.125 0.250
26 Pb 0.375 0.750 0.125
27 Pb 0.625 0.250 0.875
28 Pb 0.625 0.875 0.750
29 Pb 0.750 0.125 0.375
30 Pb 0.750 0.625 0.875
31 Pb 0.875 0.625 0.250
32 Pb 0.875 0.750 0.625
33 O 0.023 0.196 0.116
34 O 0.023 0.327 0.907
35 O 0.080 0.696 0.673
36 O 0.080 0.884 0.407
37 O 0.093 0.616 0.420
38 O 0.093 0.977 0.673
39 O 0.116 0.023 0.196
40 O 0.116 0.593 0.920
41 O 0.173 0.196 0.580
42 O 0.173 0.477 0.593
43 O 0.196 0.116 0.023
44 O 0.196 0.580 0.173
45 O 0.304 0.327 0.920
46 O 0.304 0.477 0.384
47 O 0.327 0.907 0.023
48 O 0.327 0.920 0.304
49 O 0.384 0.304 0.477
50 O 0.384 0.580 0.907
51 O 0.407 0.080 0.884
52 O 0.407 0.827 0.523
53 O 0.420 0.093 0.616
54 O 0.420 0.827 0.804
55 O 0.477 0.384 0.304
56 O 0.477 0.593 0.173
57 O 0.523 0.407 0.827
58 O 0.523 0.616 0.696
59 O 0.580 0.173 0.196
60 O 0.580 0.907 0.384
61 O 0.593 0.173 0.477
62 O 0.593 0.920 0.116
63 O 0.616 0.420 0.093
64 O 0.616 0.696 0.523
65 O 0.673 0.080 0.696
66 O 0.673 0.093 0.977
67 O 0.696 0.523 0.616
68 O 0.696 0.673 0.080
69 O 0.804 0.420 0.827
70 O 0.804 0.884 0.977
71 O 0.827 0.523 0.407
72 O 0.827 0.804 0.420
73 O 0.884 0.407 0.080
74 O 0.884 0.977 0.804
75 O 0.907 0.023 0.327
76 O 0.907 0.384 0.580
77 O 0.920 0.116 0.593
78 O 0.920 0.304 0.327
79 O 0.977 0.673 0.093
80 O 0.977 0.804 0.884

=====

Entry 11:
A relaxed structure of ZrSbPb2O6, computed with PBE.

Properties
electronic total energy = -0.247 Ha/atom

a = 5.115 Å, b = 5.149 Å, c = 6.022 Å
α = 102.16°, β = 101.72°, γ = 103.82°
Fractional coordinates of all 10 atoms:
1 Zr 0.000 0.000 0.000
2 Sb 0.500 0.500 0.000
3 Pb 0.252 0.747 0.497
4 Pb 0.748 0.253 0.503
5 O 0.185 0.184 0.761
6 O 0.255 0.746 0.004
7 O 0.345 0.344 0.243
8 O 0.655 0.656 0.757
9 O 0.745 0.254 0.996
10 O 0.815 0.816 0.239

=====

Entry 12:
A relaxed structure of ZrSbPb2O6, computed with PBE.

Properties
electronic total energy = -0.200 Ha/atom

a = 5.999 Å, b = 5.999 Å, c = 5.999 Å
α = 60.00°, β = 60.00°, γ = 60.00°
Fractional coordinates of all 10 atoms:
1 Zr 0.000 0.000 0.000
2 Sb 0.500 0.500 0.500
3 Pb 0.250 0.250 0.250
4 Pb 0.750 0.750 0.750
5 O 0.000 0.000 0.500
6 O 0.000 0.500 0.000
7 O 0.000 0.500 0.500
8 O 0.500 0.000 0.000
9 O 0.500 0.000 0.500
10 O 0.500 0.500 0.000

=====

Taking the records one at a time from the top gives V values of 259, 130, 157, 294, 155, 146, 148, 282, 283, 1066, 145, 153 Å³ per cell.